Run i
# ZrHgCl2 | Alexandria | PBE | relaxed
data_ZrHgCl2
_chemical_formula_sum 'Zr1 Hg1 Cl2'
_cell_length_a 7.8432
_cell_length_b 7.8432
_cell_length_c 7.8432
_cell_angle_alpha 156.36
_cell_angle_beta 146.45
_cell_angle_gamma 41.46
_space_group_name_H-M_alt 'P 1'
_space_group_IT_number 1
loop_
_space_group_symop_operation_xyz
'x,y,z'
loop_
_atom_site_label
_atom_site_fract_x
_atom_site_fract_y
_atom_site_fract_z
Zr1 0.0000 0.0000 0.0000
Hg1 0.1858 0.6858 0.5000
Cl1 0.5255 0.5255 0.0000
Cl2 0.8619 0.3619 0.5000
# DOS at the Fermi energy (states/eV per atom): 0.820

***

Run ii
# ZrHgCl2 | Alexandria | PBE | relaxed
data_ZrHgCl2
_chemical_formula_sum 'Zr1 Hg1 Cl2'
_cell_length_a 3.5960
_cell_length_b 3.5960
_cell_length_c 7.2581
_cell_angle_alpha 90.00
_cell_angle_beta 90.00
_cell_angle_gamma 90.00
_space_group_name_H-M_alt 'P 1'
_space_group_IT_number 1
loop_
_space_group_symop_operation_xyz
'x,y,z'
loop_
_atom_site_label
_atom_site_fract_x
_atom_site_fract_y
_atom_site_fract_z
Zr1 0.0000 0.0000 0.0000
Hg1 0.5000 0.5000 0.7054
Cl1 0.0000 0.0000 0.3451
Cl2 0.5000 0.5000 0.1148
# DOS at the Fermi energy (states/eV per atom): 0.320

***

Run iii
# ZrHgCl2 | Alexandria | PBE | relaxed
data_ZrHgCl2
_chemical_formula_sum 'Zr1 Hg1 Cl2'
_cell_length_a 5.0303
_cell_length_b 5.0303
_cell_length_c 5.0303
_cell_angle_alpha 60.00
_cell_angle_beta 60.00
_cell_angle_gamma 60.00
_space_group_name_H-M_alt 'P 1'
_space_group_IT_number 1
loop_
_space_group_symop_operation_xyz
'x,y,z'
loop_
_atom_site_label
_atom_site_fract_x
_atom_site_fract_y
_atom_site_fract_z
Zr1 0.0000 0.0000 0.0000
Hg1 0.7500 0.7500 0.7500
Cl1 0.2500 0.2500 0.2500
Cl2 0.5000 0.5000 0.5000
# DOS at the Fermi energy (states/eV per atom): 1.237

***

Run iv
# ZrHgCl2 | Alexandria | PBE | relaxed
data_ZrHgCl2
_chemical_formula_sum 'Zr1 Hg1 Cl2'
_cell_length_a 11.1379
_cell_length_b 11.1379
_cell_length_c 11.1379
_cell_angle_alpha 17.31
_cell_angle_beta 17.31
_cell_angle_gamma 17.31
_space_group_name_H-M_alt 'P 1'
_space_group_IT_number 1
loop_
_space_group_symop_operation_xyz
'x,y,z'
loop_
_atom_site_label
_atom_site_fract_x
_atom_site_fract_y
_atom_site_fract_z
Zr1 0.0000 0.0000 0.0000
Hg1 0.5000 0.5000 0.5000
Cl1 0.2786 0.2786 0.2786
Cl2 0.7214 0.7214 0.7214
# DOS at the Fermi energy (states/eV per atom): 0.751

***

Relative energies in kJ/mol of atoms: run i 32.4; run ii 36.5; run iii 96.9; run iv 0.0

***

Run i
# ZrHg2Cl2 | Alexandria | PBE | relaxed
data_ZrHg2Cl2
_chemical_formula_sum 'Zr2 Hg4 Cl4'
_cell_length_a 7.5163
_cell_length_b 7.5163
_cell_length_c 4.6725
_cell_angle_alpha 90.00
_cell_angle_beta 90.00
_cell_angle_gamma 90.00
_space_group_name_H-M_alt 'P 1'
_space_group_IT_number 1
loop_
_space_group_symop_operation_xyz
'x,y,z'
loop_
_atom_site_label
_atom_site_fract_x
_atom_site_fract_y
_atom_site_fract_z
Zr1 0.0000 0.0000 0.0000
Zr2 0.5000 0.5000 0.0000
Hg1 0.1336 0.3664 0.0000
Hg2 0.3664 0.8664 0.0000
Hg3 0.6335 0.1336 0.0000
Hg4 0.8664 0.6335 0.0000
Cl1 0.1827 0.6827 0.5000
Cl2 0.3173 0.1827 0.5000
Cl3 0.6827 0.8173 0.5000
Cl4 0.8173 0.3173 0.5000
# DOS at the Fermi energy (states/eV per atom): 0.602

***

Run ii
# ZrHg2Cl2 | Alexandria | PBE | relaxed
data_ZrHg2Cl2
_chemical_formula_sum 'Zr1 Hg2 Cl2'
_cell_length_a 7.5039
_cell_length_b 7.5039
_cell_length_c 7.5039
_cell_angle_alpha 147.24
_cell_angle_beta 147.24
_cell_angle_gamma 47.02
_space_group_name_H-M_alt 'P 1'
_space_group_IT_number 1
loop_
_space_group_symop_operation_xyz
'x,y,z'
loop_
_atom_site_label
_atom_site_fract_x
_atom_site_fract_y
_atom_site_fract_z
Zr1 0.0000 0.0000 0.0000
Hg1 0.3903 0.3903 0.0000
Hg2 0.6097 0.6097 0.0000
Cl1 0.2500 0.7500 0.5000
Cl2 0.7500 0.2500 0.5000
# DOS at the Fermi energy (states/eV per atom): 0.545

***

Relative energies in kJ/mol of atoms: run i 0.0; run ii 24.5

***

Run i
# K2HoCl5 | Alexandria | PBE | relaxed
data_K2HoCl5
_chemical_formula_sum 'K4 Ho2 Cl10'
_cell_length_a 8.3617
_cell_length_b 8.3617
_cell_length_c 14.4072
_cell_angle_alpha 90.00
_cell_angle_beta 90.00
_cell_angle_gamma 142.45
_space_group_name_H-M_alt 'P 1'
_space_group_IT_number 1
loop_
_space_group_symop_operation_xyz
'x,y,z'
loop_
_atom_site_label
_atom_site_fract_x
_atom_site_fract_y
_atom_site_fract_z
K1 0.1428 0.8572 0.5630
K2 0.1428 0.8572 0.9370
K3 0.8572 0.1428 0.0630
K4 0.8572 0.1428 0.4370
Ho1 0.1616 0.8384 0.2500
Ho2 0.8384 0.1616 0.7500
Cl1 0.0443 0.9557 0.1252
Cl2 0.0443 0.9557 0.3748
Cl3 0.2745 0.7255 0.1130
Cl4 0.2745 0.7255 0.3870
Cl5 0.3172 0.6828 0.7500
Cl6 0.6828 0.3172 0.2500
Cl7 0.7255 0.2745 0.6130
Cl8 0.7255 0.2745 0.8870
Cl9 0.9557 0.0443 0.6252
Cl10 0.9557 0.0443 0.8748
# DOS at the Fermi energy (states/eV per atom): 0.000

***

Run ii
# K2HoCl5 | Alexandria | PBE | relaxed
data_K2HoCl5
_chemical_formula_sum 'K8 Ho4 Cl20'
_cell_length_a 12.9185
_cell_length_b 8.5932
_cell_length_c 8.0781
_cell_angle_alpha 90.00
_cell_angle_beta 90.00
_cell_angle_gamma 90.00
_space_group_name_H-M_alt 'P 1'
_space_group_IT_number 1
loop_
_space_group_symop_operation_xyz
'x,y,z'
loop_
_atom_site_label
_atom_site_fract_x
_atom_site_fract_y
_atom_site_fract_z
K1 0.1712 0.0047 0.0585
K2 0.1712 0.4953 0.0585
K3 0.3288 0.5047 0.5585
K4 0.3288 0.9953 0.5585
K5 0.6712 0.0047 0.4415
K6 0.6712 0.4953 0.4415
K7 0.8288 0.5047 0.9415
K8 0.8288 0.9953 0.9415
Ho1 0.0047 0.2500 0.5728
Ho2 0.4953 0.7500 0.0728
Ho3 0.5047 0.2500 0.9272
Ho4 0.9953 0.7500 0.4272
Cl1 0.0122 0.2500 0.9080
Cl2 0.0699 0.5436 0.6624
Cl3 0.0699 0.9564 0.6624
Cl4 0.1765 0.2500 0.3889
Cl5 0.1959 0.7500 0.3483
Cl6 0.3041 0.2500 0.8483
Cl7 0.3235 0.7500 0.8889
Cl8 0.4301 0.0436 0.1624
Cl9 0.4301 0.4564 0.1624
Cl10 0.4878 0.7500 0.4080
Cl11 0.5122 0.2500 0.5920
Cl12 0.5699 0.5436 0.8376
Cl13 0.5699 0.9564 0.8376
Cl14 0.6765 0.2500 0.1111
Cl15 0.6959 0.7500 0.1517
Cl16 0.8041 0.2500 0.6517
Cl17 0.8235 0.7500 0.6111
Cl18 0.9301 0.0436 0.3376
Cl19 0.9301 0.4564 0.3376
Cl20 0.9878 0.7500 0.0920
# DOS at the Fermi energy (states/eV per atom): 0.000

***

Relative energies in kJ/mol of atoms: run i 2.3; run ii 0.0

***

Run i
# KHoCl4 | Alexandria | PBE | relaxed
data_KHoCl4
_chemical_formula_sum 'K2 Ho2 Cl8'
_cell_length_a 9.5849
_cell_length_b 9.5849
_cell_length_c 6.8318
_cell_angle_alpha 99.88
_cell_angle_beta 99.88
_cell_angle_gamma 130.06
_space_group_name_H-M_alt 'P 1'
_space_group_IT_number 1
loop_
_space_group_symop_operation_xyz
'x,y,z'
loop_
_atom_site_label
_atom_site_fract_x
_atom_site_fract_y
_atom_site_fract_z
K1 0.1797 0.8203 0.7500
K2 0.8203 0.1797 0.2500
Ho1 0.4326 0.5674 0.7500
Ho2 0.5674 0.4326 0.2500
Cl1 0.1021 0.4415 0.7467
Cl2 0.2595 0.3537 0.3317
Cl3 0.3537 0.2595 0.8317
Cl4 0.4415 0.1021 0.2467
Cl5 0.5585 0.8979 0.7533
Cl6 0.6463 0.7405 0.1683
Cl7 0.7405 0.6463 0.6683
Cl8 0.8979 0.5585 0.2533
# DOS at the Fermi energy (states/eV per atom): 0.000

***

Run ii
# KHoCl4 | Alexandria | PBE | relaxed
data_KHoCl4
_chemical_formula_sum 'K2 Ho2 Cl8'
_cell_length_a 8.9954
_cell_length_b 8.9954
_cell_length_c 6.6963
_cell_angle_alpha 108.54
_cell_angle_beta 108.54
_cell_angle_gamma 115.26
_space_group_name_H-M_alt 'P 1'
_space_group_IT_number 1
loop_
_space_group_symop_operation_xyz
'x,y,z'
loop_
_atom_site_label
_atom_site_fract_x
_atom_site_fract_y
_atom_site_fract_z
K1 0.1575 0.8425 0.7500
K2 0.8425 0.1575 0.2500
Ho1 0.4182 0.5818 0.2500
Ho2 0.5818 0.4182 0.7500
Cl1 0.1405 0.5370 0.3110
Cl2 0.2528 0.3356 0.7694
Cl3 0.3356 0.2528 0.2694
Cl4 0.4630 0.8595 0.1890
Cl5 0.5370 0.1405 0.8110
Cl6 0.6644 0.7472 0.7306
Cl7 0.7472 0.6644 0.2306
Cl8 0.8595 0.4630 0.6890
# DOS at the Fermi energy (states/eV per atom): 0.000

***

Relative energies in kJ/mol of atoms: run i 0.0; run ii 1.2